Sr3LiIr2O9 | PBE | relaxed

abc: 5.6276 5.6276 6.9147
angles: 90.00 90.00 120.00
With the nearest neighbours (Å) after each atom.
Space group P-3m1 (No. 164)
Inequivalent atoms, fractional coordinates:
1 Sr 0.0000 0.0000 0.0000 x1  12 O 2.81
2 Sr 0.3333 0.6667 0.6503 x2  12 O 2.74-2.91
3 Li 0.0000 0.0000 0.5000 x1  6 O 2.06
4 Ir 0.3333 0.6667 0.1691 x2  6 O 1.91-2.00
5 O 0.0000 0.5000 0.0000 x3  2 Ir 2.00
6 O 0.1719 0.3438 0.3259 x6  1 Ir 1.91, 1 Li 2.06

Values from the calculation:
Fermi-level density of states, states/eV/cell: 11.41
ΔE_f (raw), meV per atom: -1764